Mg2MoW3S8 | Alexandria | PBE | relaxed; E = -6.842 eV per atom; symmetry = No. 160; mass density = 6.2 g/cm³; formation energy (no corrections) = -706 meV per atom
1.0
3.523 2.034 5.914
-3.523 2.034 5.914
0.000 -4.068 5.914
Mg Mo W S
2 1 3 8
Direct
0.000 0.000 0.000
0.238 0.238 0.238
0.555 0.555 0.555
0.052 0.623 0.623
0.623 0.052 0.623
0.623 0.623 0.052
0.320 0.320 0.840
0.320 0.840 0.320
0.370 0.370 0.370
0.388 0.808 0.808
0.808 0.388 0.808
0.808 0.808 0.388
0.840 0.320 0.320
0.858 0.858 0.858